PBE Li6MgGa2, optimized geometry; SG = C2/m (12); formation enthalpy at 0 K = -0.122 eV/atom
1.0
6.6914 -2.6499 0.0000
6.6914 2.6499 0.0000
-0.7423 0.0000 4.7477
Li Mg Ga
6 1 2
Cartesian
4.4399 1.3563 4.6643
3.4898 0.0000 2.0947
8.2005 1.3563 0.0834
4.4399 -1.3563 4.6643
9.1507 0.0000 2.6530
8.2005 -1.3563 0.0834
6.3202 0.0000 2.3738
0.9263 0.0000 2.3986
11.7141 0.0000 2.3491

PBE RbBi2Pd2O6, optimized geometry; SG = P-1 (2); formation energy (no corrections) = -0.73 eV/atom
1.0
6.2429 0.0000 0.0000
0.4262 6.3467 0.0000
2.6134 3.0083 5.2487
Rb Bi Pd O
1 2 2 6
Cartesian
0.0000 0.0000 0.0000
2.2262 6.2072 3.4342
7.0562 3.1478 1.8146
5.6581 4.4472 5.1969
3.6243 4.9078 0.0519
2.3984 4.7694 1.6389
2.3250 1.4416 1.7987
3.9901 5.5408 4.8091
5.2924 3.8143 0.4396
6.9574 7.9135 3.4500
6.8840 4.5857 3.6099

PBE HoCu2Si, optimized geometry; SG = P4/nmm (129); formation energy (no corrections) = -0.40 eV/atom
1.0
3.8698 0.0000 0.0000
0.0000 3.8698 0.0000
0.0000 0.0000 9.0864
Ho Cu Si
2 4 2
Cartesian
0.9674 0.9674 2.1412
2.9023 2.9023 6.9452
0.9674 0.9674 8.3861
0.9674 2.9023 4.5432
2.9023 0.9674 4.5432
2.9023 2.9023 0.7004
0.9674 0.9674 5.9566
2.9023 2.9023 3.1298

PBE Pm3Pr3In2, optimized geometry; SG = Cmcm (63); formation enthalpy at 0 K = -0.159 eV/atom
1.0
2.6909 -6.1549 0.0000
2.6909 6.1549 0.0000
0.0000 0.0000 16.0233
Pm Pr In
6 6 4
Cartesian
2.6909 5.5734 12.0175
2.6909 4.4294 0.4765
2.6909 4.4294 7.5352
2.6909 -4.4294 8.4881
2.6909 -4.4294 15.5468
2.6909 -5.5734 4.0058
2.6909 3.3058 4.0058
2.6909 0.4752 1.7127
2.6909 0.4752 6.2989
2.6909 -0.4752 9.7244
2.6909 -0.4752 14.3106
2.6909 -3.3058 12.0175
2.6909 2.7692 10.2568
2.6909 2.7692 13.7782
2.6909 -2.7692 2.2451
2.6909 -2.7692 5.7665

PBE ScCu2Tc, optimized geometry; SG = C2/m (12); formation enthalpy at 0 K = 0.064 eV/atom
1.0
4.9625 -1.5624 0.0000
4.9625 1.5624 0.0000
-1.7877 0.0000 3.8257
Sc Cu Tc
1 2 1
Cartesian
0.0000 0.0000 0.0000
1.0669 0.0000 2.8339
7.0704 0.0000 0.9918
4.0687 0.0000 1.9128

PBE ScOsW, optimized geometry; SG = Amm2 (38); formation enthalpy at 0 K = -0.259 eV/atom
1.0
8.5378 0.0000 0.0000
0.0000 2.6749 4.6389
0.0000 -2.6749 4.6389
Sc Os W
4 4 4
Cartesian
1.5469 0.0000 0.0000
2.6402 0.0000 3.0850
5.8976 0.0000 3.0850
6.9909 0.0000 0.0000
0.0000 -1.2676 2.3526
0.0000 1.2676 2.3526
0.0000 0.0000 4.5849
4.2689 0.0000 7.7644
2.0519 0.0000 6.2046
4.2689 -1.3564 5.3661
4.2689 1.3564 5.3661
6.4859 0.0000 6.2046

PBE Ni2AgTe, optimized geometry; SG = Pmmm (47); formation energy (no corrections) = 0.20 eV/atom
1.0
3.2629 0.0000 0.0000
0.0000 3.3237 0.0000
0.0000 0.0000 5.8113
Ni Ag Te
2 1 1
Cartesian
0.0000 0.0000 1.3762
0.0000 0.0000 4.4351
1.6314 1.6619 2.9057
1.6314 1.6619 0.0000

PBE Hf2TaF, optimized geometry; SG = I-42d (122); formation energy (no corrections) = -0.42 eV/atom
1.0
-3.4327 3.4327 3.1307
3.4327 -3.4327 3.1307
3.4327 3.4327 -3.1307
Hf Ta F
4 2 2
Cartesian
5.1490 1.1732 -0.7827
1.1732 1.7163 0.7827
-1.7163 2.2595 2.3480
2.2595 1.7163 3.9134
3.4327 0.0000 1.5653
0.0000 0.0000 3.1307
0.0000 0.0000 0.0000
0.0000 3.4327 1.5653

Number 1: size of the total moment 0.00 μB/f.u., DOS at the Fermi energy 0.3022 states/eV/atom. Number 2: size of the total moment 0.00 μB/f.u., DOS at the Fermi energy 0.2798 states/eV/atom. Number 3: size of the total moment 0.00 μB/f.u., DOS at the Fermi energy 0.5265 states/eV/atom. Number 4: size of the total moment 0.00 μB/f.u., DOS at the Fermi energy 1.1704 states/eV/atom. Number 5: size of the total moment 0.00 μB/f.u., DOS at the Fermi energy 0.9806 states/eV/atom. Number 6: size of the total moment 0.00 μB/f.u., DOS at the Fermi energy 0.9233 states/eV/atom. Number 7: size of the total moment 0.00 μB/f.u., DOS at the Fermi energy 0.9097 states/eV/atom. Number 8: size of the total moment 0.00 μB/f.u., DOS at the Fermi energy 0.5588 states/eV/atom.